Record 1
TcIr2Br: optimized geometry, GGA-PBE.

abc: 4.7915 4.7915 2.7816
angles: 90.00 90.00 90.00
With the nearest neighbours (Å) after each atom.
Space group P4/mmm (No. 123)
One atom of each set of equivalent atoms:
1 Tc 0.0000 0.0000 0.0000 x1  8 Ir 2.77, 2 Tc 2.78
2 Ir 0.0000 0.5000 0.5000 x2  4 Br 2.77, 4 Tc 2.77, 2 Ir 2.78
3 Br 0.5000 0.5000 0.0000 x1  8 Ir 2.77, 2 Br 2.78

Values from the calculation:
ΔE_f (raw) = 1.03 eV/atom
Distance to the lowest polymorph of the same formula = 0.572 eV per atom
Density = 14622 kg/m³

---

Record 2
TcIr2Br: optimized geometry, GGA-PBE.

abc: 6.2444 6.2444 9.0650
angles: 90.00 90.00 90.00
With the nearest neighbours (Å) after each atom.
Space group I-42d (No. 122)
One atom of each set of equivalent atoms:
1 Tc 0.0000 0.0000 0.0000 x4  4 Ir 2.37
2 Ir 0.2205 0.2500 0.1250 x8  2 Tc 2.37, 2 Br 2.60
3 Br 0.0000 0.0000 0.5000 x4  4 Ir 2.60

Values from the calculation:
ΔE_f (raw) = 0.98 eV/atom
Distance to the lowest polymorph of the same formula = 0.521 eV per atom
Density = 10567 kg/m³

---

Record 3
TcIr2Br: optimized geometry, GGA-PBE.

abc: 2.7962 3.5720 7.1639
angles: 90.00 90.00 90.00
With the nearest neighbours (Å) after each atom.
Space group Pmmm (No. 47)
One atom of each set of equivalent atoms:
1 Tc 0.0000 0.0000 0.0000 x1  8 Ir 2.64, 2 Tc 2.80
2 Ir 0.5000 0.5000 0.1890 x2  4 Tc 2.64, 3 Ir 2.71-2.80
3 Br 0.0000 0.0000 0.5000 x1  2 Br 2.80

Values from the calculation:
ΔE_f (raw) = 0.67 eV/atom
Distance to the lowest polymorph of the same formula = 0.212 eV per atom
Density = 13050 kg/m³

---

Record 4
TcIr2Br: optimized geometry, GGA-PBE.

abc: 2.7548 4.7437 11.4825
angles: 90.00 90.00 90.00
With the nearest neighbours (Å) after each atom.
Space group Cmmm (No. 65)
One atom of each set of equivalent atoms:
1 Tc 0.0000 0.0000 0.0000 x2  4 Ir 2.63, 6 Tc 2.74-2.75
2 Ir 0.0000 0.5000 0.1950 x4  2 Tc 2.63, 6 Ir 2.74-2.75
3 Br 0.0000 0.0000 0.5000 x2  6 Br 2.74-2.75

Values from the calculation:
ΔE_f (raw) = 0.66 eV/atom
Distance to the lowest polymorph of the same formula = 0.198 eV per atom
Density = 12446 kg/m³

---

Record 5
TcIr2Br: optimized geometry, GGA-PBE.

abc: 4.2157 4.2157 7.0584
angles: 90.00 90.00 90.00
With the nearest neighbours (Å) after each atom.
Space group I-4m2 (No. 119)
One atom of each set of equivalent atoms:
1 Tc 0.0000 0.0000 0.0000 x2  4 Br 2.75, 8 Ir 2.75-2.98
2 Ir 0.0000 0.0000 0.5000 x2  4 Br 2.75, 4 Ir 2.75, 4 Tc 2.98
3 Ir 0.0000 0.5000 0.2500 x2  4 Tc 2.75, 4 Ir 2.75, 4 Br 2.98
4 Br 0.0000 0.5000 0.7500 x2  4 Tc 2.75, 8 Ir 2.75-2.98

Values from the calculation:
ΔE_f (raw) = 0.97 eV/atom
Distance to the lowest polymorph of the same formula = 0.513 eV per atom
Density = 14888 kg/m³

---

Record 6
TcIr2Br: optimized geometry, GGA-PBE.

abc: 3.8851 3.8851 4.1619
angles: 90.00 90.00 90.00
With the nearest neighbours (Å) after each atom.
Space group P4/mmm (No. 123)
One atom of each set of equivalent atoms:
1 Tc 0.0000 0.0000 0.0000 x1  4 Br 2.75, 8 Ir 2.85
2 Ir 0.0000 0.5000 0.5000 x2  4 Ir 2.75, 4 Br 2.85, 4 Tc 2.85
3 Br 0.5000 0.5000 0.0000 x1  4 Tc 2.75, 8 Ir 2.85

Values from the calculation:
ΔE_f (raw) = 1.17 eV/atom
Distance to the lowest polymorph of the same formula = 0.710 eV per atom
Density = 14865 kg/m³

---

Record 7
TcIr2Br: optimized geometry, GGA-PBE.

abc: 2.7868 3.6977 6.9349
angles: 90.00 90.00 90.00
With the nearest neighbours (Å) after each atom.
Space group Pmm2 (No. 25)
One atom of each set of equivalent atoms:
1 Tc 0.0000 0.0000 0.0000 x1  5 Ir 2.60-2.63, 2 Br 2.75, 2 Tc 2.79
2 Ir 0.0000 0.0000 0.3751 x1  1 Tc 2.60, 6 Ir 2.68-2.79
3 Ir 0.5000 0.5000 0.1798 x1  4 Tc 2.63, 6 Ir 2.68-2.79
4 Br 0.0000 0.5000 0.7060 x1  2 Tc 2.75, 2 Br 2.79, 2 Ir 2.95

Values from the calculation:
ΔE_f (raw) = 0.50 eV/atom
Distance to the lowest polymorph of the same formula = 0.042 eV per atom
Density = 13067 kg/m³

---

Record 8
TcIr2Br: optimized geometry, GGA-PBE.

abc: 2.7884 4.5266 10.4542
angles: 90.00 90.00 90.00
With the nearest neighbours (Å) after each atom.
Space group Immm (No. 71)
One atom of each set of equivalent atoms:
1 Tc 0.0000 0.0000 0.0000 x2  4 Br 2.66, 4 Ir 2.70, 2 Tc 2.79
2 Ir 0.0000 0.5000 0.2786 x4  2 Tc 2.70, 6 Ir 2.72-2.79
3 Br 0.0000 0.0000 0.5000 x2  4 Tc 2.66, 2 Br 2.79

Values from the calculation:
ΔE_f (raw) = 0.76 eV/atom
Distance to the lowest polymorph of the same formula = 0.301 eV per atom
Density = 14153 kg/m³

---

Record 9
TcIr2Br: optimized geometry, GGA-PBE.

abc: 6.3291 6.3291 6.3291
angles: 90.00 90.00 90.00
With the nearest neighbours (Å) after each atom.
Space group F-43m (No. 216)
One atom of each set of equivalent atoms:
1 Tc 0.0000 0.0000 0.0000 x4  4 Br 2.74, 4 Ir 2.74
2 Ir 0.0000 0.0000 0.5000 x4  4 Br 2.74, 4 Ir 2.74
3 Ir 0.2500 0.2500 0.2500 x4  4 Tc 2.74, 4 Ir 2.74
4 Br 0.2500 0.2500 0.7500 x4  4 Tc 2.74, 4 Ir 2.74

Values from the calculation:
ΔE_f (raw) = 1.00 eV/atom
Distance to the lowest polymorph of the same formula = 0.540 eV per atom
Density = 14733 kg/m³

---

Record 10
TcIr2Br: optimized geometry, GGA-PBE.

abc: 2.8305 4.7135 4.7497
angles: 90.00 90.00 90.00
With the nearest neighbours (Å) after each atom.
Space group Pmmm (No. 47)
One atom of each set of equivalent atoms:
1 Tc 0.0000 0.0000 0.0000 x1  4 Br 2.75, 4 Ir 2.76, 2 Tc 2.83
2 Ir 0.0000 0.5000 0.5000 x1  6 Ir 2.75-2.83, 4 Br 2.76
3 Ir 0.5000 0.0000 0.5000 x1  6 Ir 2.75-2.83, 4 Tc 2.76
4 Br 0.5000 0.5000 0.0000 x1  4 Tc 2.75, 4 Ir 2.76, 2 Br 2.83

Values from the calculation:
ΔE_f (raw) = 0.91 eV/atom
Distance to the lowest polymorph of the same formula = 0.451 eV per atom
Density = 14736 kg/m³

---

Record 11
Tc3IrBr: optimized geometry, GGA-PBE.

abc: 4.8230 4.8230 4.8230
angles: 90.00 90.00 90.00
With the nearest neighbours (Å) after each atom.
Space group Pm-3m (No. 221)
One atom of each set of equivalent atoms:
1 Tc 0.0000 0.0000 0.5000 x3  2 Ir 2.41
2 Ir 0.0000 0.0000 0.0000 x1  6 Tc 2.41
3 Br 0.5000 0.5000 0.5000 x1  12 Tc 3.41

Values from the calculation:
ΔE_f (raw) = 1.82 eV/atom
Distance to the lowest polymorph of the same formula = 0.006 eV per atom
Density = 8379 kg/m³

---

Record 12
TcIr3Br: optimized geometry, GGA-PBE.

abc: 4.5968 4.5968 4.5968
angles: 90.00 90.00 90.00
With the nearest neighbours (Å) after each atom.
Space group Pm-3m (No. 221)
One atom of each set of equivalent atoms:
1 Tc 0.0000 0.0000 0.0000 x1  12 Ir 3.25
2 Ir 0.0000 0.5000 0.5000 x3  2 Br 2.30
3 Br 0.5000 0.5000 0.5000 x1  6 Ir 2.30

Values from the calculation:
ΔE_f (raw) = 2.13 eV/atom
Density = 12900 kg/m³

---

Record 13
Tc3IrBr: optimized geometry, GGA-PBE.

abc: 4.4699 4.4699 4.4699
angles: 90.00 90.00 90.00
With the nearest neighbours (Å) after each atom.
Space group Pm-3m (No. 221)
One atom of each set of equivalent atoms:
1 Tc 0.0000 0.0000 0.5000 x3  2 Br 2.23
2 Ir 0.5000 0.5000 0.5000 x1  12 Tc 3.16
3 Br 0.0000 0.0000 0.0000 x1  6 Tc 2.23

Values from the calculation:
ΔE_f (raw) = 1.82 eV/atom
Distance to the lowest polymorph of the same formula = 0.000 eV per atom
Density = 10526 kg/m³

---

Record 14
TcIr2Br: optimized geometry, GGA-PBE.

abc: 6.3839 6.3839 6.3839
angles: 90.00 90.00 90.00
With the nearest neighbours (Å) after each atom.
Space group Fm-3m (No. 225)
One atom of each set of equivalent atoms:
1 Tc 0.0000 0.0000 0.0000 x4  8 Ir 2.76
2 Ir 0.2500 0.2500 0.2500 x8  4 Tc 2.76, 4 Br 2.76
3 Br 0.0000 0.0000 0.5000 x4  8 Ir 2.76

Values from the calculation:
ΔE_f (raw) = 1.19 eV/atom
Distance to the lowest polymorph of the same formula = 0.728 eV per atom
Density = 14357 kg/m³

---

Record 15
TcIrBr4: optimized geometry, GGA-PBE.

abc: 8.4884 8.4884 8.4884
angles: 90.00 90.00 90.00
With the nearest neighbours (Å) after each atom.
Space group F-43m (No. 216)
One atom of each set of equivalent atoms:
1 Tc 0.0000 0.0000 0.0000 x4  12 Br 3.52, 4 Ir 3.68
2 Ir 0.2500 0.2500 0.2500 x4  12 Br 3.52, 4 Tc 3.68
3 Br 0.1244 0.1244 0.6244 x16  6 Br 2.99-3.02

Values from the calculation:
ΔE_f (raw) = 1.86 eV/atom
Density = 6623 kg/m³